First-principles (PBE-GGA) data for crystalline ZrAsPCl2 at its relaxed geometry, as listed in Alexandria via LeMat-Bulk.

The volume is 130 Å³/cell. The total energy comes out at -4.7052 eV/atom.

It has space group P4/mmm (No. 123), with a = 4.9165 Å, b = 4.9165 Å, c = 5.3576 Å, α = 90.00°, β = 90.00° and γ = 90.00°. The asymmetric unit holds Zr at (0.0000, 0.0000, 0.0000), As at (0.5000, 0.5000, 0.5000), P at (0.0000, 0.0000, 0.5000) and Cl at (0.0000, 0.5000, 0.0000).